Here is ZnGePO after structural relaxation from OQMD via LeMat-Bulk. Energies are from GGA-PBE.

The structure in POSCAR format:
```
ZnGePO
1.0
4.153 0.000 0.000
0.000 4.153 0.000
0.000 0.000 8.319
O P Ge Zn
2 2 2 2
direct
0.500 0.500 0.000
0.000 0.000 0.000
0.000 0.500 0.655
0.500 0.000 0.345
0.000 0.000 0.500
0.500 0.500 0.500
0.500 0.000 0.023
0.000 0.500 0.977
```

Calculated values
DFT total energy	-35.525	eV/cell
symmetry	P4/nmm

Here is YScGaCo2 after structural relaxation from OQMD via LeMat-Bulk. Energies are from GGA-PBE.

The structure in POSCAR format:
```
YScGaCo2
1.0
-1.998 2.665 4.006
1.998 -2.665 4.006
1.998 2.665 -4.006
Sc Co Y Ga
1 2 1 1
direct
0.295 0.795 0.500
0.717 0.498 0.219
0.279 0.498 0.781
0.706 0.206 0.500
0.003 0.003 0.000
```

Calculated values
DFT total energy	-32.181	eV/cell
symmetry	Imm2

Here is BeHgTeO after structural relaxation from OQMD via LeMat-Bulk. Energies are from GGA-PBE.

The structure in POSCAR format:
```
BeHgTeO
1.0
-0.194 -4.463 2.551
8.585 -1.382 -1.764
1.909 3.610 6.461
Be Hg Te O
4 4 4 4
direct
0.254 0.197 0.017
0.746 0.697 0.483
0.754 0.303 0.983
0.246 0.803 0.517
0.269 0.557 0.191
0.769 0.943 0.809
0.231 0.443 0.691
0.731 0.057 0.309
0.413 0.077 0.594
0.587 0.577 0.906
0.087 0.923 0.094
0.913 0.423 0.406
0.967 0.783 0.557
0.467 0.717 0.443
0.533 0.217 0.057
0.033 0.283 0.943
```

Calculated values
DFT total energy	-65.094	eV/cell
symmetry	P2_12_12_1

Here is BaUGa after structural relaxation from OQMD via LeMat-Bulk. Energies are from GGA-PBE.

The structure in POSCAR format:
```
BaUGa
1.0
0.000 3.721 3.721
3.721 0.000 3.721
3.721 3.721 0.000
Ba Ga U
1 1 1
direct
0.250 0.250 0.250
0.000 0.000 0.000
0.750 0.750 0.750
```

Calculated values
DFT total energy	-14.003	eV/cell
symmetry	F-43m

Here is Gd2Tm2B3 after structural relaxation from OQMD via LeMat-Bulk. Energies are from GGA-PBE.

The structure in POSCAR format:
```
Gd2Tm2B3
1.0
1.579 -13.054 0.000
1.579 13.054 0.000
0.000 0.000 3.557
Tm B Gd
2 3 2
direct
0.837 0.163 0.500
0.163 0.837 0.500
0.741 0.259 0.500
0.000 0.000 0.500
0.259 0.741 0.500
0.445 0.555 0.000
0.555 0.445 0.000
```

Calculated values
DFT total energy	-37.029	eV/cell
symmetry	Cmmm

Here is HgH after structural relaxation from OQMD via LeMat-Bulk. Energies are from GGA-PBE.

The structure in POSCAR format:
```
HgH
1.0
-1.805 -2.244 -1.609
2.472 1.544 -1.545
1.923 -2.186 0.892
Hg H
1 1
direct
0.333 0.667 0.250
0.667 0.333 0.750
```

Calculated values
DFT total energy	-2.233	eV/cell
symmetry	P-6m2

Here is HoBIr after structural relaxation from OQMD via LeMat-Bulk. Energies are from GGA-PBE.

The structure in POSCAR format:
```
HoBIr
1.0
2.017 -2.686 2.652
4.258 -0.390 -0.181
2.427 1.543 3.169
B Ho Ir
1 1 1
direct
0.750 0.750 0.750
0.250 0.250 0.250
0.000 0.000 0.000
```

Calculated values
DFT total energy	-19.150	eV/cell
symmetry	F-43m

Here is ZrAuNO after structural relaxation from OQMD via LeMat-Bulk. Energies are from GGA-PBE.

The structure in POSCAR format:
```
ZrAuNO
1.0
-2.496 -0.804 3.892
-2.989 -2.649 -2.465
2.547 -3.686 0.872
N O Zr Au
2 2 2 2
direct
0.250 0.250 0.571
0.750 0.750 0.429
0.250 0.750 0.000
0.750 0.250 0.000
0.750 0.250 0.500
0.250 0.750 0.500
0.750 0.750 0.901
0.250 0.250 0.099
```

Calculated values
DFT total energy	-56.182	eV/cell
symmetry	P4/nmm

Here is La2Nd2O5 after structural relaxation from OQMD via LeMat-Bulk. Energies are from GGA-PBE.

The structure in POSCAR format:
```
La2Nd2O5
1.0
7.463 0.000 0.000
0.000 4.570 0.000
0.000 0.000 4.570
Nd O La
2 5 2
direct
0.784 0.500 0.500
0.216 0.500 0.500
0.771 0.000 0.500
0.500 0.500 0.500
0.229 0.000 0.500
0.771 0.500 0.000
0.229 0.500 0.000
0.000 0.000 0.000
0.500 0.000 0.000
```

Calculated values
DFT total energy	-67.022	eV/cell
symmetry	P4/mmm

Here is Dy2TmCu4Ge4 after structural relaxation from OQMD via LeMat-Bulk. Energies are from GGA-PBE.

The structure in POSCAR format:
```
Dy2TmCu4Ge4
1.0
-2.432 -5.094 5.657
3.738 -0.430 7.051
-4.150 4.246 -5.350
Ge Cu Tm Dy
4 4 1 2
direct
0.784 0.784 0.000
0.693 0.500 0.193
0.307 0.500 0.807
0.216 0.216 0.000
0.979 0.669 0.310
0.641 0.331 0.310
0.021 0.331 0.690
0.359 0.669 0.690
0.000 0.000 0.000
0.630 0.130 0.500
0.370 0.870 0.500
```

Calculated values
DFT total energy	-53.928	eV/cell
symmetry	Immm

Here is Ni9Hg2 after structural relaxation from OQMD via LeMat-Bulk. Energies are from GGA-PBE.

The structure in POSCAR format:
```
Ni9Hg2
1.0
2.659 0.000 0.000
-1.330 2.303 0.000
0.000 0.000 33.977
Ni Hg
9 2
direct
0.000 0.000 0.444
0.333 0.667 0.556
0.333 0.667 0.725
0.000 0.000 0.612
0.000 0.000 0.275
0.667 0.333 0.500
0.667 0.333 0.331
0.667 0.333 0.669
0.333 0.667 0.388
0.333 0.667 0.201
0.000 0.000 0.798
```

Calculated values
DFT total energy	-47.531	eV/cell
symmetry	P3m1

Here is HfSnBi after structural relaxation from OQMD via LeMat-Bulk. Energies are from GGA-PBE.

The structure in POSCAR format:
```
HfSnBi
1.0
0.000 3.562 3.562
3.562 0.000 3.562
3.562 3.562 0.000
Bi Hf Sn
1 1 1
direct
0.250 0.250 0.250
0.750 0.750 0.750
0.000 0.000 0.000
```

Calculated values
DFT total energy	-16.487	eV/cell
symmetry	F-43m